[1]
A relaxed structure of LaDy7Tm4, computed with PBE.

Structure (POSCAR):
```
LaDy7Tm4
1.0
6.176 0.000 0.000
-0.002 7.145 0.000
-2.066 -0.004 8.551
La Dy Tm
1 7 4
Cartesian
0.000 0.000 0.000
-0.001 3.573 0.000
0.010 0.000 5.676
1.027 5.341 2.880
3.086 1.808 0.002
1.022 5.333 8.549
3.081 1.801 5.671
4.098 7.142 2.876
-0.014 3.571 5.683
1.023 1.806 2.874
3.084 5.336 5.678
4.121 3.570 2.868
```

## Properties
distance to the lowest polymorph of the same formula = 0 meV per atom

[2]
A relaxed structure of LaDyTm, computed with PBE.

Structure (POSCAR):
```
LaDyTm
1.0
5.709 0.000 0.000
-2.854 4.944 0.000
0.000 0.000 3.503
La Dy Tm
1 1 1
Cartesian
0.000 0.000 0.000
2.854 1.648 1.751
0.000 3.296 1.751
```

## Properties
distance to the lowest polymorph of the same formula = 40 meV per atom

[3]
A relaxed structure of La7Dy2Tm, computed with PBE.

Structure (POSCAR):
```
La7Dy2Tm
1.0
4.395 -8.347 0.000
4.395 8.347 0.000
0.000 0.000 5.746
La Dy Tm
7 2 1
Cartesian
0.000 0.000 0.000
2.804 1.862 0.000
4.395 3.780 2.873
2.804 -1.862 0.000
5.986 1.862 0.000
4.395 -3.780 2.873
5.986 -1.862 0.000
4.395 4.892 0.000
4.395 -4.892 0.000
4.395 0.000 2.873
```

## Properties
distance to the lowest polymorph of the same formula = 570 meV per atom

[4]
A relaxed structure of LaDy6Tm6, computed with PBE.

Structure (POSCAR):
```
LaDy6Tm6
1.0
6.613 0.000 0.000
-3.306 5.727 0.000
0.000 0.000 11.383
La Dy Tm
1 6 6
Cartesian
0.000 0.000 0.000
0.000 0.000 3.986
0.000 0.000 7.396
0.000 3.818 0.000
0.000 3.818 5.691
3.306 1.909 0.000
3.306 1.909 5.691
-1.653 2.863 2.792
-1.653 2.863 8.591
3.306 0.000 2.792
3.306 0.000 8.591
1.653 2.863 2.792
1.653 2.863 8.591
```

## Properties
VASP energy = -0.1581 Ha/atom

[5]
A relaxed structure of LaDyTm4, computed with PBE.

Structure (POSCAR):
```
LaDyTm4
1.0
3.464 0.000 0.000
0.000 5.613 0.000
0.000 0.000 9.705
La Dy Tm
1 1 4
Cartesian
0.000 0.000 0.000
0.000 2.807 4.853
1.732 0.000 3.270
1.732 0.000 6.435
1.732 2.807 1.660
1.732 2.807 8.046
```

## Properties
distance to the lowest polymorph of the same formula = 0 meV per atom

[6]
A relaxed structure of LaDy2Tm9, computed with PBE.

Structure (POSCAR):
```
LaDy2Tm9
1.0
11.124 0.000 0.000
-5.562 9.633 0.000
0.000 0.000 3.499
La Dy Tm
1 2 9
Cartesian
0.000 0.000 0.000
0.000 6.422 0.000
5.562 3.211 0.000
-2.781 4.817 0.000
0.000 3.458 1.750
-2.567 7.904 1.750
2.995 1.729 1.750
5.562 0.000 0.000
2.781 4.817 0.000
2.567 7.904 1.750
8.129 1.729 1.750
5.562 6.175 1.750
```

## Properties
distance to the lowest polymorph of the same formula = 8 meV per atom

[7]
A relaxed structure of La2DyTm6, computed with PBE.

Structure (POSCAR):
```
La2DyTm6
1.0
6.674 -5.854 0.000
6.674 5.854 0.000
-5.274 0.000 7.371
La Dy Tm
4 2 12
Cartesian
0.255 1.072 3.215
-2.382 -1.072 6.900
10.456 1.072 0.471
7.819 -1.072 4.156
2.718 1.993 5.528
5.356 -1.993 1.843
5.982 4.310 0.291
-0.904 1.917 6.345
4.729 4.310 3.395
3.725 1.079 2.333
1.734 -1.917 2.659
1.087 -1.079 6.018
6.987 1.079 1.353
6.340 1.917 4.712
4.349 -1.079 5.038
3.345 -4.310 3.976
8.978 -1.917 1.027
2.092 -4.310 7.080
```

## Properties
distance to the lowest polymorph of the same formula = 0 meV per atom

[8]
A relaxed structure of La4Dy3Tm, computed with PBE.

Structure (POSCAR):
```
La4Dy3Tm
1.0
12.090 -1.713 0.000
12.090 1.713 0.000
-1.864 0.000 6.552
La Dy Tm
4 3 1
Cartesian
2.300 0.000 2.441
4.817 0.000 5.025
17.499 0.000 1.527
20.016 0.000 4.111
0.000 0.000 0.000
1.337 0.000 5.636
20.980 0.000 0.916
11.158 0.000 3.276
```

## Properties
distance to the lowest polymorph of the same formula = 171 meV per atom

[9]
A relaxed structure of La3Dy12Tm, computed with PBE.

Structure (POSCAR):
```
La3Dy12Tm
1.0
5.062 0.000 0.000
0.000 5.062 0.000
0.000 0.000 20.265
La Dy Tm
3 12 1
Cartesian
0.000 0.000 0.000
0.000 0.000 5.082
0.000 0.000 15.183
0.000 2.531 2.555
0.000 2.531 7.673
0.000 2.531 12.592
0.000 2.531 17.710
2.531 0.000 2.555
2.531 0.000 7.673
2.531 0.000 12.592
2.531 0.000 17.710
2.531 2.531 0.000
2.531 2.531 5.124
2.531 2.531 10.132
2.531 2.531 15.141
0.000 0.000 10.132
```

## Properties
VASP energy = -0.1700 Ha/atom

[10]
A relaxed structure of La4DyTm10, computed with PBE.

Structure (POSCAR):
```
La4DyTm10
1.0
-4.876 4.876 5.292
4.876 -4.876 5.292
4.876 4.876 -5.292
La Dy Tm
4 1 10
Cartesian
6.473 0.666 0.000
0.666 3.280 0.000
4.211 1.597 5.292
-1.597 4.211 5.292
0.000 0.000 0.000
3.778 2.835 -1.705
2.042 -1.098 3.587
4.876 0.000 2.646
2.835 5.975 -1.705
3.778 2.835 1.705
1.098 2.042 3.587
2.042 -1.098 6.997
0.000 4.876 2.646
2.835 5.975 1.705
1.098 2.042 6.997
```

## Properties
VASP energy = -0.1553 Ha/atom

[11]
A relaxed structure of La2Dy5Tm, computed with PBE.

Structure (POSCAR):
```
La2Dy5Tm
1.0
7.176 0.000 0.000
0.000 14.355 0.000
0.000 0.000 5.078
La Dy Tm
4 10 2
Cartesian
1.777 1.790 0.000
1.811 8.968 0.000
5.365 5.387 0.000
5.399 12.565 0.000
0.000 7.178 2.539
0.022 10.771 2.539
1.773 5.382 0.000
1.815 12.559 0.000
3.566 3.593 2.539
3.588 0.000 2.539
3.610 10.762 2.539
5.361 1.796 0.000
5.402 8.973 0.000
7.154 3.584 2.539
0.000 0.000 2.539
3.588 7.178 2.539
```

## Properties
VASP energy = -0.1703 Ha/atom

[12]
A relaxed structure of LaDyTm6, computed with PBE.

Structure (POSCAR):
```
LaDyTm6
1.0
4.330 2.500 4.290
-4.330 2.500 4.290
0.000 -5.000 4.290
La Dy Tm
1 1 6
Cartesian
0.000 0.000 0.000
0.000 0.000 6.435
0.000 -1.815 3.567
-1.572 0.908 3.567
-1.572 -0.908 9.303
1.572 0.908 3.567
1.572 -0.908 9.303
0.000 1.815 9.303
```

## Properties
distance to the lowest polymorph of the same formula = 559 meV per atom

[13]
A relaxed structure of La4Dy3Tm4, computed with PBE.

Structure (POSCAR):
```
La4Dy3Tm4
1.0
3.511 0.000 0.000
0.000 5.700 0.000
-1.753 -2.849 17.957
La Dy Tm
4 3 4
Cartesian
0.001 -0.002 3.299
0.001 2.849 8.288
1.756 0.001 9.669
1.757 2.853 14.658
0.001 0.003 13.059
1.755 0.000 0.000
1.757 2.847 4.898
0.002 2.847 1.612
0.001 0.000 6.520
1.757 2.851 11.437
1.756 0.003 16.345
```

## Properties
distance to the lowest polymorph of the same formula = 24 meV per atom

[14]
A relaxed structure of La4Dy4Tm, computed with PBE.

Structure (POSCAR):
```
La4Dy4Tm
1.0
7.635 -2.584 0.000
7.635 2.584 0.000
-2.634 0.000 7.709
La Dy Tm
4 4 1
Cartesian
2.516 0.000 0.011
2.500 0.000 5.137
10.135 0.000 2.572
10.119 0.000 7.697
-0.063 0.000 2.604
5.114 0.000 2.558
7.522 0.000 5.150
12.699 0.000 5.105
7.635 0.000 0.000
```

## Properties
distance to the lowest polymorph of the same formula = 2 meV per atom

[15]
A relaxed structure of LaDy4Tm, computed with PBE.

Structure (POSCAR):
```
LaDy4Tm
1.0
5.817 -1.715 0.000
5.817 1.715 0.000
-5.719 0.000 10.003
La Dy Tm
1 4 1
Cartesian
0.000 0.000 0.000
-2.627 0.000 8.412
0.263 0.000 3.485
5.651 0.000 6.518
8.541 0.000 1.591
-2.860 0.000 5.002
```

## Properties
distance to the lowest polymorph of the same formula = 3 meV per atom

[16]
A relaxed structure of La4Dy11Tm9, computed with PBE.

Structure (POSCAR):
```
La4Dy11Tm9
1.0
8.179 -13.142 0.000
8.179 13.142 0.000
0.000 0.000 3.590
La Dy Tm
4 11 9
Cartesian
2.787 2.293 0.000
2.787 -2.293 0.000
13.571 2.293 0.000
13.571 -2.293 0.000
4.608 4.904 1.795
8.179 9.861 1.795
4.797 0.000 1.795
8.179 4.927 1.795
4.608 -4.904 1.795
8.179 0.000 1.795
11.749 4.904 1.795
8.179 -4.927 1.795
11.561 0.000 1.795
8.179 -9.861 1.795
11.749 -4.904 1.795
0.000 0.000 0.000
6.444 7.369 0.000
6.420 2.477 0.000
9.913 7.369 0.000
6.420 -2.477 0.000
9.937 2.477 0.000
6.444 -7.369 0.000
9.937 -2.477 0.000
9.913 -7.369 0.000
```

## Properties
VASP energy = -0.1675 Ha/atom

[17]
A relaxed structure of La3Dy7Tm2, computed with PBE.

Structure (POSCAR):
```
La3Dy7Tm2
1.0
3.265 1.885 11.391
-3.265 1.885 11.391
0.000 -3.770 11.391
La Dy Tm
3 7 2
Cartesian
0.000 0.000 0.000
0.000 0.000 5.339
0.000 0.000 28.835
-1.634 -0.944 14.226
0.000 -1.887 19.947
-1.634 0.944 19.947
0.000 0.000 17.087
1.634 -0.944 14.226
0.000 1.887 14.226
1.634 0.944 19.947
0.000 0.000 11.387
0.000 0.000 22.786
```

## Properties
VASP energy = -0.1613 Ha/atom

[18]
A relaxed structure of LaDy4Tm8, computed with PBE.

Structure (POSCAR):
```
LaDy4Tm8
1.0
3.620 2.090 8.914
-3.620 2.090 8.914
0.000 -4.181 8.914
La Dy Tm
1 4 8
Cartesian
0.000 0.000 0.000
-3.620 0.000 13.372
-1.810 1.045 4.457
1.810 1.045 4.457
0.000 0.000 13.372
0.000 -1.851 10.639
-1.603 0.925 10.639
0.000 0.000 7.512
-1.603 -0.925 16.104
1.603 0.925 10.639
0.000 0.000 19.232
1.603 -0.925 16.104
0.000 1.851 16.104
```

## Properties
VASP energy = -0.1597 Ha/atom

[19]
A relaxed structure of La12Dy6Tm, computed with PBE.

Structure (POSCAR):
```
La12Dy6Tm
1.0
7.483 4.320 3.499
-7.483 4.320 3.499
0.000 -8.641 3.499
La Dy Tm
12 6 1
Cartesian
-5.257 1.546 4.252
-3.968 -3.780 6.246
-2.950 -0.869 4.446
1.290 -5.326 4.252
-0.722 -2.989 6.051
2.227 -2.120 4.446
-2.227 2.120 6.051
0.722 2.989 4.446
-1.290 5.326 6.246
2.950 0.869 6.051
3.968 3.780 4.252
5.257 -1.546 6.246
-0.766 -2.538 2.525
-1.815 1.932 2.525
2.581 0.606 2.525
-2.581 -0.606 7.973
1.815 -1.932 7.972
0.766 2.538 7.972
0.000 0.000 0.000
```

## Properties
VASP energy = -0.1682 Ha/atom

[20]
A relaxed structure of La2Dy3Tm6, computed with PBE.

Structure (POSCAR):
```
La2Dy3Tm6
1.0
3.032 -5.257 0.000
3.032 5.257 0.000
-2.034 0.000 11.545
La Dy Tm
2 3 6
Cartesian
3.032 3.502 0.000
3.032 -3.502 0.000
-1.017 0.000 5.772
2.015 1.735 5.772
2.015 -1.735 5.772
-0.009 1.751 8.592
1.008 0.000 2.954
-0.009 -1.751 8.592
4.038 1.751 2.953
3.022 0.000 8.591
4.038 -1.751 2.953
```

## Properties
VASP energy = -0.1618 Ha/atom